Compound: Cu2AuBr
Source: Alexandria via LeMat-Bulk
Functional: PBE-GGA
Structure: relaxed

The structure belongs to space group I-42d (No. 122); the cell edges are 5.805, 5.805 and 11.233 Å and the angles 90.00°, 90.00° and 90.00°. The distinct sites, in fractional coordinates, are Cu at (0.238, 0.250, 0.125), Au at (0.000, 0.000, 0.500) and Br at (0.000, 0.000, 0.000).

Its energy relative to the lowest polymorph listed for this composition is 234 meV/atom. The value obtained for the formation energy (no corrections) is 0.259 eV/atom. Its density is 7.1 g/cm³.

Compound: Cr2CoIr8
Source: Alexandria via LeMat-Bulk
Functional: PBE-GGA
Structure: relaxed

The structure belongs to space group C2/m (No. 12); the cell edges are 13.702, 3.805 and 6.028 Å and the angles 90.00°, 105.33° and 90.00°. The distinct sites, in fractional coordinates, are Cr at (0.229, 0.000, 0.144), Co at (0.000, 0.500, 0.500), Ir at (0.045, 0.000, 0.230), Ir at (0.097, 0.500, 0.957), Ir at (0.140, 0.000, 0.692) and Ir at (0.182, 0.500, 0.404).

For the energy of formation, the calculation gives -1.11 eV per formula unit. Its density is 18.6 g/cm³.

Compound: LiMn2SnSe4
Source: Alexandria via LeMat-Bulk
Functional: PBE-GGA
Structure: relaxed

The structure belongs to space group Pmn2_1 (No. 31); the cell edges are 8.394, 7.446 and 6.874 Å and the angles 90.00°, 90.00° and 90.00°. The distinct sites, in fractional coordinates, are Li at (0.000, 0.162, 0.000), Mn at (0.250, 0.341, 0.500), Sn at (0.000, 0.836, 0.498), Se at (0.000, 0.189, 0.376), Se at (0.000, 0.824, 0.897) and Se at (0.239, 0.344, 0.868).

The value obtained for the formation energy (no corrections) is -0.556 eV/atom. Its density is 4.3 g/cm³.

Compound: SrEuZn
Source: Alexandria via LeMat-Bulk
Functional: PBE-GGA
Structure: relaxed

The structure belongs to space group F-43m (No. 216); the cell edges are 7.696, 7.696 and 7.696 Å and the angles 90.00°, 90.00° and 90.00°. The distinct sites, in fractional coordinates, are Sr at (0.000, 0.000, 0.000), Eu at (0.000, 0.000, 0.500) and Zn at (0.250, 0.250, 0.750).

For the energy of formation, the calculation gives -0.03 eV per formula unit. Its energy relative to the lowest polymorph listed for this composition is 143 meV/atom. Its density is 4.4 g/cm³.

Compound: AgSbW2
Source: Alexandria via LeMat-Bulk
Functional: PBE-GGA
Structure: relaxed

The structure belongs to space group Cmmm (No. 65); the cell edges are 3.317, 4.677 and 9.340 Å and the angles 90.00°, 90.00° and 90.00°. The distinct sites, in fractional coordinates, are Ag at (0.000, 0.000, 0.000), Sb at (0.000, 0.000, 0.500) and W at (0.000, 0.500, 0.252).

The value obtained for the formation energy (no corrections) is 0.954 eV/atom. Its density is 13.7 g/cm³.

Compound: Ca2NdRhO6
Source: Alexandria via LeMat-Bulk
Functional: PBE-GGA
Structure: relaxed

The structure belongs to space group P2_1/c (No. 14); the cell edges are 5.668, 5.916 and 9.857 Å and the angles 90.00°, 123.96° and 90.00°. The distinct sites, in fractional coordinates, are Ca at (0.231, 0.058, 0.252), Nd at (0.500, 0.000, 0.000), Rh at (0.000, 0.000, 0.500), O at (0.101, 0.221, 0.928), O at (0.221, 0.682, 0.940) and O at (0.348, 0.055, 0.726).

The value obtained for the formation energy (no corrections) is -2.212 eV/atom. Its density is 5.1 g/cm³.

What did the sixth record say?
Compound: Ca2NdRhO6
Source: Alexandria via LeMat-Bulk
Functional: PBE-GGA
Structure: relaxed

The structure belongs to space group P2_1/c (No. 14); the cell edges are 5.668, 5.916 and 9.857 Å and the angles 90.00°, 123.96° and 90.00°. The distinct sites, in fractional coordinates, are Ca at (0.231, 0.058, 0.252), Nd at (0.500, 0.000, 0.000), Rh at (0.000, 0.000, 0.500), O at (0.101, 0.221, 0.928), O at (0.221, 0.682, 0.940) and O at (0.348, 0.055, 0.726).

The value obtained for the formation energy (no corrections) is -2.212 eV/atom. Its density is 5.1 g/cm³.